No. 1
A PBEsol-optimized structure of La2MgTl, computed with meta-GGA SCAN.

Symmetry: Imm2
DOS at the Fermi energy in states/eV/cell: 3.759

Lattice parameters (Å, degrees): 6.425 6.425 6.425 144.89 129.69 62.83
Element x y z (fractional)
La 0.000 0.000 0.000
La 0.732 0.232 0.500
Mg 0.269 0.769 0.500
Tl 0.468 0.468 0.000

=====

No. 2
A PBEsol-optimized structure of TaBe2Nb2, computed with meta-GGA SCAN.

Symmetry: P4/mbm
DOS at the Fermi energy in states/eV/cell: 9.860

Lattice parameters (Å, degrees): 6.471 6.471 3.331 90.00 90.00 90.00
Element x y z (fractional)
Ta 0.000 0.000 0.000
Ta 0.500 0.500 0.000
Be 0.114 0.386 0.000
Be 0.386 0.886 0.000
Be 0.614 0.114 0.000
Be 0.886 0.614 0.000
Nb 0.179 0.679 0.500
Nb 0.321 0.179 0.500
Nb 0.679 0.821 0.500
Nb 0.821 0.321 0.500

=====

No. 3
A PBEsol-optimized structure of Rb, computed with meta-GGA SCAN.

Symmetry: C222_1
DOS at the Fermi energy in states/eV/cell: 20.764

Lattice parameters (Å, degrees): 9.255 9.255 29.730 90.00 90.00 117.57
Element x y z (fractional)
Rb 0.082 0.884 0.392
Rb 0.116 0.918 0.108
Rb 0.121 0.363 0.456
Rb 0.124 0.374 0.750
Rb 0.125 0.875 0.750
Rb 0.140 0.397 0.037
Rb 0.329 0.638 0.609
Rb 0.362 0.671 0.891
Rb 0.363 0.121 0.544
Rb 0.364 0.612 0.175
Rb 0.374 0.124 0.250
Rb 0.388 0.636 0.325
Rb 0.397 0.140 0.963
Rb 0.603 0.860 0.463
Rb 0.612 0.364 0.825
Rb 0.626 0.876 0.750
Rb 0.636 0.388 0.675
Rb 0.637 0.879 0.044
Rb 0.638 0.329 0.391
Rb 0.671 0.362 0.109
Rb 0.860 0.603 0.537
Rb 0.875 0.125 0.250
Rb 0.876 0.626 0.250
Rb 0.879 0.637 0.956
Rb 0.884 0.082 0.608
Rb 0.918 0.116 0.892

=====

No. 4
A PBEsol-optimized structure of K3AsO4, computed with meta-GGA SCAN.

Formation energy from raw total energies in meV/atom: -1876.4
Symmetry: Cccm
DOS at the Fermi energy in states/eV/cell: 0.000

Lattice parameters (Å, degrees): 8.363 8.363 16.622 90.00 90.00 95.94
Element x y z (fractional)
K 0.000 0.000 0.107
K 0.000 0.000 0.393
K 0.000 0.000 0.607
K 0.000 0.000 0.893
K 0.000 0.500 0.148
K 0.000 0.500 0.389
K 0.000 0.500 0.611
K 0.000 0.500 0.852
K 0.214 0.724 0.000
K 0.228 0.228 0.250
K 0.228 0.228 0.750
K 0.276 0.786 0.500
K 0.500 0.000 0.111
K 0.500 0.000 0.352
K 0.500 0.000 0.648
K 0.500 0.000 0.889
K 0.500 0.500 0.132
K 0.500 0.500 0.368
K 0.500 0.500 0.632
K 0.500 0.500 0.868
K 0.724 0.214 0.500
K 0.772 0.772 0.250
K 0.772 0.772 0.750
K 0.786 0.276 0.000
As 0.240 0.281 0.500
As 0.269 0.731 0.250
As 0.269 0.731 0.750
As 0.281 0.240 0.000
As 0.719 0.760 0.000
As 0.731 0.269 0.250
As 0.731 0.269 0.750
As 0.760 0.719 0.500
O 0.033 0.241 0.500
O 0.170 0.790 0.166
O 0.170 0.790 0.834
O 0.200 0.315 0.085
O 0.200 0.315 0.915
O 0.210 0.830 0.334
O 0.210 0.830 0.666
O 0.227 0.528 0.265
O 0.227 0.528 0.735
O 0.241 0.033 0.000
O 0.283 0.487 0.500
O 0.315 0.200 0.415
O 0.315 0.200 0.585
O 0.472 0.773 0.235
O 0.472 0.773 0.765
O 0.487 0.283 0.000
O 0.513 0.717 0.000
O 0.528 0.227 0.235
O 0.528 0.227 0.765
O 0.685 0.800 0.415
O 0.685 0.800 0.585
O 0.717 0.513 0.500
O 0.759 0.967 0.000
O 0.773 0.472 0.265
O 0.773 0.472 0.735
O 0.790 0.170 0.334
O 0.790 0.170 0.666
O 0.800 0.685 0.085
O 0.800 0.685 0.915
O 0.830 0.210 0.166
O 0.830 0.210 0.834
O 0.967 0.759 0.500

=====

No. 5
A PBEsol-optimized structure of TaTcAg2, computed with meta-GGA SCAN.

Symmetry: Pmm2
DOS at the Fermi energy in states/eV/cell: 2.030

Lattice parameters (Å, degrees): 2.695 4.104 5.787 90.00 90.00 90.00
Element x y z (fractional)
Ta 0.000 0.000 0.000
Tc 0.500 0.500 0.231
Ag 0.000 0.000 0.493
Ag 0.500 0.500 0.730

=====

No. 6
A PBEsol-optimized structure of Ag3SnRh, computed with meta-GGA SCAN.

Symmetry: Pm-3m
DOS at the Fermi energy in states/eV/cell: 3.927

Lattice parameters (Å, degrees): 4.907 4.907 4.907 90.00 90.00 90.00
Element x y z (fractional)
Ag 0.000 0.000 0.500
Ag 0.000 0.500 0.000
Ag 0.500 0.000 0.000
Sn 0.500 0.500 0.500
Rh 0.000 0.000 0.000

=====

No. 7
A PBEsol-optimized structure of SiOsPdRu2, computed with meta-GGA SCAN.

Formation energy from raw total energies in meV/atom: 1440.3
Symmetry: P4/mmm
DOS at the Fermi energy in states/eV/cell: 3.154

Lattice parameters (Å, degrees): 4.603 4.603 4.472 90.00 90.00 90.00
Element x y z (fractional)
Si 0.000 0.000 0.000
Os 0.000 0.000 0.500
Pd 0.500 0.500 0.000
Ru 0.000 0.500 0.500
Ru 0.500 0.000 0.500

=====

No. 8
A PBEsol-optimized structure of K2NaCa2, computed with meta-GGA SCAN.

Symmetry: I4/mmm
DOS at the Fermi energy in states/eV/cell: 4.305

Lattice parameters (Å, degrees): 11.064 11.064 11.064 153.79 153.79 37.41
Element x y z (fractional)
K 0.250 0.750 0.500
K 0.750 0.250 0.500
Na 0.000 0.000 0.000
Ca 0.413 0.413 0.000
Ca 0.587 0.587 0.000

=====

For each record above, in turn, the calculated E_tot values are -165.1, -284.7, -538.6, -680.9, -163.2, -159.0, -177.1, -38.5 eV/cell.
For each record above, in turn, the calculated magnetic moment values are 0.02, 0.00, 0.00, 0.00, 0.00, 0.12, 0.24, 0.04 μB/atom.